(1)
Material: Ba2CoF6
Method: DFT, PBE+U
State: optimized geometry

Calculated values
- density of states at the Fermi level (states/eV/cell) = 0.00
- size of the total moment (μB per atom) = 0.333
- energy above the most stable polymorph in this dataset (meV per atom) = 70

Lattice parameters (Å, degrees): 5.863 5.864 8.205 90.00 90.03 90.00
Each line ends with the local moment (μB).
Atoms (fractional coordinates):
Ba1 0.000 0.500 0.750  0.00
Ba2 0.500 0.000 0.750  0.00
Ba3 0.500 0.000 0.250  0.00
Ba4 0.000 0.500 0.250  0.00
Co1 0.500 0.500 0.000  2.74
Co2 0.000 0.000 0.500  2.74
F1 0.999 0.000 0.257  0.04
F2 0.760 0.759 0.500  0.04
F3 0.748 0.747 0.999  0.03
F4 0.752 0.247 0.501  0.03
F5 0.740 0.259 0.000  0.04
F6 0.501 0.500 0.243  0.04
F7 0.001 0.000 0.743  0.04
F8 0.240 0.241 0.500  0.04
F9 0.252 0.253 0.001  0.03
F10 0.248 0.753 0.499  0.03
F11 0.260 0.741 0.000  0.04
F12 0.499 0.500 0.757  0.04

---

(2)
Material: Ba3CoF
Method: DFT, PBE+U
State: optimized geometry

Calculated values
- uncorrected energy (Ry/atom) = -0.211
- density of states at the Fermi level (states/eV/cell) = 6.75
- size of the total moment (μB per atom) = 0.000

Lattice parameters (Å, degrees): 5.450 5.450 5.450 90.00 90.00 90.00
Atoms (fractional coordinates):
Co1 0.500 0.500 0.500
Ba1 0.000 0.500 0.000
Ba2 0.000 0.000 0.500
Ba3 0.500 0.000 0.000
F1 0.000 0.000 0.000

---

(3)
Material: Ba3CoF7
Method: DFT, PBE+U
State: optimized geometry

Calculated values
- uncorrected energy (Ry/atom) = -0.400
- size of the total moment (μB per atom) = 0.182

Lattice parameters (Å, degrees): 7.410 7.410 8.325 90.00 90.00 120.73
Each line ends with the local moment (μB).
Atoms (fractional coordinates):
Ba1 0.192 0.591 0.750  0.00
Ba2 0.000 0.000 0.000  0.00
Ba3 0.000 0.000 0.500  0.00
Ba4 0.409 0.808 0.250  0.00
Ba5 0.591 0.192 0.750  0.00
Ba6 0.808 0.409 0.250  0.00
Co1 0.500 0.500 0.000  1.96
Co2 0.500 0.500 0.500  1.96
F1 0.063 0.818 0.250  0.00
F2 0.182 0.937 0.750  0.00
F3 0.167 0.445 0.445  0.01
F4 0.167 0.445 0.055  0.01
F5 0.555 0.833 0.945  0.01
F6 0.555 0.833 0.555  0.01
F7 0.417 0.417 0.750  0.01
F8 0.583 0.583 0.250  0.01
F9 0.445 0.167 0.055  0.01
F10 0.445 0.167 0.445  0.01
F11 0.833 0.555 0.945  0.01
F12 0.833 0.555 0.555  0.01
F13 0.818 0.063 0.250  0.00
F14 0.937 0.182 0.750  0.00

---

Mass density per entry: 5.27, 5.03, 5.10 g/cm3